PmNd4Ho15 after structural relaxation, computed with PBE.

Lattice parameters (Å, degrees): 5.0469 5.0469 25.1154 90.00 90.00 90.00
Space group P4/mmm (No. 123)
Symmetry-distinct sites (fractional):
Pm 0.0000 0.0000 0.0000 (multiplicity 1)
Nd 0.0000 0.0000 0.1999 (multiplicity 2)
Nd 0.0000 0.0000 0.4000 (multiplicity 2)
Ho 0.0000 0.5000 0.0997 (multiplicity 4)
Ho 0.0000 0.5000 0.3000 (multiplicity 4)
Ho 0.0000 0.5000 0.5000 (multiplicity 2)
Ho 0.5000 0.5000 0.0000 (multiplicity 1)
Ho 0.5000 0.5000 0.1999 (multiplicity 2)
Ho 0.5000 0.5000 0.4000 (multiplicity 2)

formation enthalpy at 0 K: 40 kJ/mol of formula units
total energy: -4.604 eV/atom